Record 1
MnSiOs2 | PBE | optimized geometry

The structure in POSCAR format:
```
MnSiOs2
1.0
-1.4226 2.1115 4.2831
1.4226 -2.1115 4.2831
1.4226 2.1115 -4.2831
Mn Si Os
1 1 2
Direct
0.0000 0.0000 0.0000
0.7803 0.2803 0.5000
0.2719 0.7719 0.5000
0.5460 0.5460 0.0000
```

Size of the total moment ... 1.1 μB/f.u.
Formation energy (no corrections) ... -40 kJ/mol of formula units
Space group ... Imm2 (44)
N(E_F) ... 3.2 states/eV/cell



Record 2
Sn2SeOF | PBE | optimized geometry

The structure in POSCAR format:
```
Sn2SeOF
1.0
5.0665 0.0000 0.0000
0.0000 5.0665 0.0000
0.0000 0.0000 4.3023
Sn Se O F
2 1 1 1
Direct
0.0000 0.5000 0.0000
0.5000 0.0000 0.0000
0.0000 0.0000 0.5000
0.5000 0.5000 0.5000
0.0000 0.0000 0.0000
```

Size of the total moment ... 0.0 μB/f.u.
Formation energy (no corrections) ... 24 kJ/mol of formula units
Space group ... P4/mmm (123)
N(E_F) ... 1.7 states/eV/cell



Record 3
Zr6In2Tc | PBE | optimized geometry

The structure in POSCAR format:
```
Zr6In2Tc
1.0
-2.4568 3.2643 7.0334
2.4568 -3.2643 7.0334
2.4568 3.2643 -7.0334
Zr In Tc
6 2 1
Direct
0.1028 0.3533 0.7494
0.2414 0.0000 0.2414
0.3961 0.6467 0.7494
0.6039 0.3533 0.2506
0.7586 0.0000 0.7586
0.8972 0.6467 0.2506
0.3216 0.8216 0.5000
0.6784 0.1784 0.5000
0.0000 0.5000 0.5000
```

Size of the total moment ... 0.0 μB/f.u.
ΔH_f (0 K) ... 135 meV per atom
Space group ... Immm (71)
N(E_F) ... 9.3 states/eV/cell



Record 4
AlCd2Se | PBE | optimized geometry

The structure in POSCAR format:
```
AlCd2Se
1.0
0.0000 3.5887 3.5887
3.5887 0.0000 3.5887
3.5887 3.5887 0.0000
Al Cd Se
1 2 1
Direct
0.0000 0.0000 0.0000
0.2500 0.2500 0.2500
0.7500 0.7500 0.7500
0.5000 0.5000 0.5000
```

Size of the total moment ... 0.0 μB/f.u.
Formation energy (no corrections) ... 80 kJ/mol of formula units
Space group ... Fm-3m (225)
N(E_F) ... 3.3 states/eV/cell